Material: Cd2Ag2I
Method: DFT, PBE
State: optimized geometry

```
Cd2Ag2I
1.0
4.0378 0.0000 0.0000
0.0000 4.0378 0.0000
2.0189 2.0189 7.7301
Ag I Cd
2 1 2
direct
0.2500 0.7500 0.5000
0.7500 0.2500 0.5000
0.0000 0.0000 0.0000
0.6112 0.6112 0.7777
0.3888 0.3888 0.2223
```

Computed properties:
Polymorph energy (0 for the lowest one) = 0 kJ/mol of formula units
Calculated density = 7.48 g cm⁻³
ΔE_f (raw) = 0.045 eV per atom